(1)
Here is a relaxed ReSi crystal from Alexandria via LeMat-Bulk. Energies are from GGA-PBE.

Lattice parameters (Å, degrees): 4.3275 4.3275 4.3275 59.97 59.97 59.97
Last column: nearest neighbours and their distance in Å.
Atoms (fractional coordinates):
Re: 0.1248 0.1248 0.1248  4 Re 2.65, 4 Si 2.65
Re: 0.8752 0.8752 0.8752  4 Re 2.65, 4 Si 2.65
Si: 0.3748 0.3748 0.3748  4 Si 2.65, 4 Re 2.65
Si: 0.6252 0.6252 0.6252  4 Si 2.65, 4 Re 2.65

Output
E_form (uncorrected) (eV/atom): 0.285
Magnetization (μB/cell): 0.00
N(E_F) (states/eV per atom): 0.8632
Raw total energy (eV/atom): -8.65

***

(2)
Here is a relaxed Y2InW crystal from Alexandria via LeMat-Bulk. Energies are from GGA-PBE.

Lattice parameters (Å, degrees): 10.7435 10.7435 10.7435 17.51 17.51 17.51
Last column: nearest neighbours and their distance in Å.
Atoms (fractional coordinates):
In: 0.4918 0.4918 0.4918  3 W 2.95, 6 In 3.27, 3 Y 3.31
W: 0.7536 0.7536 0.7536  3 In 2.95, 3 Y 3.07, 6 W 3.27
Y: 0.0105 0.0105 0.0105  3 W 3.07, 6 Y 3.27
Y: 0.2441 0.2441 0.2441  6 Y 3.27, 3 In 3.31

Output
Magnetization (μB/cell): 0.00
Energy relative to the elements (eV/atom): 0.477
N(E_F) (states/eV per atom): 1.1767
Raw total energy (eV/atom): -6.68

***

(3)
Here is a relaxed Pd3Pt2Au4 crystal from Alexandria via LeMat-Bulk. Energies are from GGA-PBE.

Lattice parameters (Å, degrees): 2.8475 4.9881 12.1199 65.76 90.00 106.58
Last column: nearest neighbours and their distance in Å.
Atoms (fractional coordinates):
Pd: 0.3281 0.6561 0.5610  5 Au 2.80-2.84, 2 Pt 2.82, 5 Pd 2.85-2.97
Pd: 0.0000 0.0000 0.0000  4 Pt 2.84, 2 Pd 2.85, 6 Au 2.88
Pd: 0.6719 0.3439 0.4390  5 Au 2.80-2.84, 2 Pt 2.82, 5 Pd 2.85-2.97
Pt: 0.3362 0.6724 0.2207  4 Pd 2.82-2.84, 2 Pt 2.85, 6 Au 2.86-2.94
Pt: 0.6638 0.3276 0.7793  4 Pd 2.82-2.84, 2 Pt 2.85, 6 Au 2.86-2.94
Au: 0.6667 0.3335 0.1129  6 Au 2.85-2.90, 3 Pt 2.86, 3 Pd 2.88
Au: 0.0040 0.0080 0.6596  5 Pd 2.80-2.84, 4 Au 2.85-2.90, 3 Pt 2.89-2.94
Au: 0.9960 0.9920 0.3404  5 Pd 2.80-2.84, 4 Au 2.85-2.90, 3 Pt 2.89-2.94
Au: 0.3333 0.6665 0.8871  6 Au 2.85-2.90, 3 Pt 2.86, 3 Pd 2.88

Output
Magnetization (μB/cell): 0.00
Energy relative to the elements (eV/atom): -0.019
N(E_F) (states/eV per atom): 0.8983
Raw total energy (eV/atom): -4.55

***

(4)
Here is a relaxed PrAgSnAu crystal from Alexandria via LeMat-Bulk. Energies are from GGA-PBE.

Lattice parameters (Å, degrees): 5.0932 5.0932 5.0932 60.00 60.00 60.00
Last column: nearest neighbours and their distance in Å.
Atoms (fractional coordinates):
Pr: 0.0000 0.0000 0.0000  4 Au 3.12, 4 Ag 3.12
Au: 0.7500 0.7500 0.7500  4 Pr 3.12, 4 Sn 3.12
Sn: 0.5000 0.5000 0.5000  4 Ag 3.12, 4 Au 3.12
Ag: 0.2500 0.2500 0.2500  4 Pr 3.12, 4 Sn 3.12

Output
Magnetization (μB/cell): 0.00
Energy relative to the elements (eV/atom): -0.533
N(E_F) (states/eV per atom): 0.4117
Raw total energy (eV/atom): -4.26